# 1
VASP calculation (GGA-PBE) on a relaxed La3SmZn8 crystal.

Unit cell a=5.741 b=5.741 c=8.819 alpha=90.00 beta=90.00 gamma=120.00
Element x y z (fractional)
La1 0.667 0.333 0.448
La2 0.667 0.333 0.048
La3 0.000 0.000 0.946
Sm1 0.000 0.000 0.556
Zn1 0.333 0.667 0.498
Zn2 0.333 0.667 0.003
Zn3 0.495 0.989 0.747
Zn4 0.495 0.505 0.747
Zn5 0.011 0.505 0.747
Zn6 0.168 0.336 0.253
Zn7 0.168 0.832 0.253
Zn8 0.664 0.832 0.253

- mass density (g cm⁻³) = 7.194
- final energy (eV for the cell shown) = -33.5
- E above lowest polymorph (meV/atom) = 14
- ΔH_f (0 K) (eV per atom) = -0.3144

***

# 2
VASP calculation (GGA-PBE) on a relaxed YCdRe3 crystal.

Unit cell a=4.859 b=4.859 c=4.859 alpha=90.00 beta=90.00 gamma=90.00
Element x y z (fractional)
Y1 0.500 0.500 0.500
Re1 0.000 0.500 0.000
Re2 0.000 0.000 0.500
Re3 0.500 0.000 0.000
Cd1 0.000 0.000 0.000

- mass density (g cm⁻³) = 10.997
- final energy (eV for the cell shown) = -32.7
- E above lowest polymorph (meV/atom) = 0
- ΔH_f (0 K) (eV per atom) = 2.4078

***

# 3
VASP calculation (GGA-PBE) on a relaxed Y2AgWBr crystal.

Unit cell a=5.539 b=4.858 c=5.539 alpha=90.00 beta=90.00 gamma=90.00
Element x y z (fractional)
Y1 0.000 0.000 0.500
Y2 0.500 0.000 0.000
Br1 0.000 0.500 0.000
Ag1 0.500 0.500 0.500
W1 0.000 0.000 0.000

- formation energy from raw total energies (kJ/mol of atoms) = 60
- mass density (g cm⁻³) = 6.121
- final energy (eV for the cell shown) = -27.3

***

# 4
VASP calculation (GGA-PBE) on a relaxed Ti3FeIr2 crystal.

Unit cell a=2.964 b=2.964 c=9.820 alpha=90.00 beta=90.00 gamma=90.00
Last column: magnetic moment on the atom in μB.
Element x y z (fractional)
Ti1 0.000 0.000 0.000  -0.04
Ti2 0.000 0.000 0.650  -0.14
Ti3 0.000 0.000 0.350  -0.14
Fe1 0.500 0.500 0.500  0.58
Ir1 0.500 0.500 0.821  -0.01
Ir2 0.500 0.500 0.179  -0.01

- mass density (g cm⁻³) = 11.237
- final energy (eV for the cell shown) = -54.1
- ΔH_f (0 K) (eV per atom) = -0.7023

***

# 5
VASP calculation (GGA-PBE) on a relaxed CdCoPb2 crystal.

Unit cell a=5.145 b=5.145 c=5.145 alpha=60.00 beta=60.00 gamma=60.00
Last column: magnetic moment on the atom in μB.
Element x y z (fractional)
Cd1 0.500 0.500 0.500  0.00
Co1 0.250 0.250 0.250  1.69
Pb1 0.000 0.000 0.000  0.01
Pb2 0.750 0.750 0.750  0.03

- mass density (g cm⁻³) = 10.100
- final energy (eV for the cell shown) = -13.1
- ΔH_f (0 K) (eV per atom) = 0.5949

***

# 6
VASP calculation (GGA-PBE) on a relaxed NdCdIr crystal.

Unit cell a=3.473 b=3.473 c=6.207 alpha=106.24 beta=106.24 gamma=90.00
Element x y z (fractional)
Ir1 0.619 0.619 0.237
Nd1 0.974 0.974 0.948
Cd1 0.257 0.257 0.515

- mass density (g cm⁻³) = 10.844
- final energy (eV for the cell shown) = -15.3
- ΔH_f (0 K) (eV per atom) = -0.2630

***

# 7
VASP calculation (GGA-PBE) on a relaxed ZrBi2OsF crystal.

Unit cell a=5.487 b=3.942 c=5.487 alpha=90.00 beta=90.00 gamma=90.00
Last column: magnetic moment on the atom in μB.
Element x y z (fractional)
Os1 0.000 0.000 0.000  0.64
Bi1 0.000 0.000 0.500  0.01
Bi2 0.500 0.000 0.000  0.00
Zr1 0.500 0.500 0.500  0.27
F1 0.000 0.500 0.000  0.08

- formation energy from raw total energies (kJ/mol of atoms) = 27
- mass density (g cm⁻³) = 10.052
- final energy (eV for the cell shown) = -28.0
- E above lowest polymorph (meV/atom) = 0

***

# 8
VASP calculation (GGA-PBE) on a relaxed CePb2S2O2 crystal.

Unit cell a=4.325 b=4.325 c=8.792 alpha=104.24 beta=104.24 gamma=90.00
Element x y z (fractional)
Ce1 0.000 0.000 0.000
Pb1 0.347 0.347 0.695
Pb2 0.653 0.653 0.305
S1 0.176 0.176 0.353
S2 0.824 0.824 0.647
O1 0.000 0.500 0.000
O2 0.500 0.000 0.000

- formation energy from raw total energies (kJ/mol of atoms) = -155
- mass density (g cm⁻³) = 7.008
- final energy (eV for the cell shown) = -42.8

***

# 9
VASP calculation (GGA-PBE) on a relaxed LaHfAs2Br crystal.

Unit cell a=5.231 b=5.326 c=5.231 alpha=90.00 beta=90.00 gamma=90.00
Element x y z (fractional)
As1 0.000 0.000 0.500
As2 0.500 0.000 0.000
Hf1 0.500 0.500 0.500
Br1 0.000 0.000 0.000
La1 0.000 0.500 0.000

- formation energy from raw total energies (kJ/mol of atoms) = 64
- mass density (g cm⁻³) = 6.235
- final energy (eV for the cell shown) = -22.5
- E above lowest polymorph (meV/atom) = 1447

***

# 10
VASP calculation (GGA-PBE) on a relaxed Nd2HoTe3 crystal.

Unit cell a=4.441 b=6.266 c=7.722 alpha=113.93 beta=106.71 gamma=90.00
Element x y z (fractional)
Nd1 0.674 0.174 0.349
Nd2 0.326 0.826 0.651
Ho1 0.000 0.500 0.000
Te1 0.343 0.343 0.686
Te2 0.000 0.000 0.000
Te3 0.657 0.657 0.314

- formation energy from raw total energies (kJ/mol of atoms) = -132
- mass density (g cm⁻³) = 7.449
- final energy (eV for the cell shown) = -31.7

***

# 11
VASP calculation (GGA-PBE) on a relaxed ErCdInCl6 crystal.

Unit cell a=6.916 b=6.916 c=13.922 alpha=90.00 beta=90.00 gamma=120.00
Element x y z (fractional)
Er1 0.667 0.333 0.250
Er2 0.333 0.667 0.750
Cd1 0.333 0.667 0.250
Cd2 0.667 0.333 0.750
In1 0.000 0.000 0.000
In2 0.000 0.000 0.500
Cl1 0.630 0.626 0.141
Cl2 0.996 0.370 0.141
Cl3 0.370 0.996 0.641
Cl4 0.004 0.630 0.859
Cl5 0.374 0.370 0.359
Cl6 0.996 0.626 0.359
Cl7 0.626 0.996 0.859
Cl8 0.630 0.004 0.359
Cl9 0.004 0.374 0.641
Cl10 0.374 0.004 0.141
Cl11 0.626 0.630 0.641
Cl12 0.370 0.374 0.859

- formation energy from raw total energies (kJ/mol of atoms) = -152
- mass density (g cm⁻³) = 3.496
- final energy (eV for the cell shown) = -66.9